A geometry-optimized Ni2B2Rh structure, computed with GGA-PBE.

abc: 5.717 5.717 2.866
angles: 90.00 90.00 90.00
Fractional coordinates of all 10 atoms:
1 Ni 0.155 0.345 0.000
2 Ni 0.345 0.845 0.000
3 Ni 0.655 0.155 0.000
4 Ni 0.845 0.655 0.000
5 B 0.120 0.620 0.500
6 B 0.380 0.120 0.500
7 B 0.620 0.880 0.500
8 B 0.880 0.380 0.500
9 Rh 0.000 0.000 0.500
10 Rh 0.500 0.500 0.500

Results
Mass density in Mg/m³: 8.576
Energy in eV/cell: -65.9